The following is a GGA-PBE calculation of a relaxed Tb3NdY3 crystal, from the Alexandria database.

a b c (Å): 14.7750 14.7750 14.7750
angles (deg): 24.28 24.28 24.28
Fractional positions:
Tb (0.1333, 0.4649, 0.8013)
Tb (0.1987, 0.8667, 0.5351)
Tb (0.4649, 0.8013, 0.1333)
Tb (0.5351, 0.1987, 0.8667)
Tb (0.8013, 0.1333, 0.4649)
Tb (0.8667, 0.5351, 0.1987)
Nd (0.3333, 0.3333, 0.3333)
Nd (0.6667, 0.6667, 0.6667)
Y (0.0673, 0.7340, 0.4010)
Y (0.2660, 0.5990, 0.9327)
Y (0.4010, 0.0673, 0.7340)
Y (0.5990, 0.9327, 0.2660)
Y (0.7340, 0.4010, 0.0673)
Y (0.9327, 0.2660, 0.5990)

Values from the calculation:
Polymorph energy (0 for the lowest one) in meV/atom: 130

***

The following is a GGA-PBE calculation of a relaxed TbNd3Y7 crystal, from the Alexandria database.

a b c (Å): 7.1351 7.1351 8.7191
angles (deg): 90.00 90.00 120.00
Fractional positions:
Tb (0.0000, 0.0000, 0.0000)
Nd (0.1664, 0.3329, 0.6627)
Nd (0.1664, 0.8336, 0.6627)
Nd (0.6671, 0.8336, 0.6627)
Y (0.0014, 0.5007, 0.9988)
Y (0.3314, 0.1657, 0.3255)
Y (0.3333, 0.6667, 0.3249)
Y (0.4993, 0.5007, 0.9988)
Y (0.4993, 0.9986, 0.9988)
Y (0.8343, 0.1657, 0.3255)
Y (0.8343, 0.6686, 0.3255)

Values from the calculation:
Polymorph energy (0 for the lowest one) in meV/atom: 38

***

The following is a GGA-PBE calculation of a relaxed TbNdY3 crystal, from the Alexandria database.

a b c (Å): 8.7994 8.7994 9.8236
angles (deg): 95.12 95.12 117.76
Fractional positions:
Tb (0.0179, 0.9821, 0.7500)
Tb (0.4059, 0.5941, 0.2500)
Tb (0.5941, 0.4059, 0.7500)
Tb (0.9821, 0.0179, 0.2500)
Nd (0.1922, 0.2919, 0.5438)
Nd (0.2919, 0.1922, 0.0438)
Nd (0.7081, 0.8078, 0.9562)
Nd (0.8078, 0.7081, 0.4562)
Y (0.0206, 0.5761, 0.6858)
Y (0.1221, 0.7446, 0.0567)
Y (0.2554, 0.8779, 0.4433)
Y (0.2952, 0.5036, 0.8816)
Y (0.4239, 0.9794, 0.8142)
Y (0.4964, 0.7048, 0.6184)
Y (0.5036, 0.2952, 0.3816)
Y (0.5761, 0.0206, 0.1858)
Y (0.7048, 0.4964, 0.1184)
Y (0.7446, 0.1221, 0.5567)
Y (0.8779, 0.2554, 0.9433)
Y (0.9794, 0.4239, 0.3142)

Values from the calculation:
Polymorph energy (0 for the lowest one) in meV/atom: 103

***

The following is a GGA-PBE calculation of a relaxed Tb2Nd12Y5 crystal, from the Alexandria database.

a b c (Å): 11.7894 11.7894 8.8060
angles (deg): 109.22 109.22 35.36
Fractional positions:
Tb (0.2434, 0.7566, 0.0000)
Tb (0.7566, 0.2434, 0.0000)
Nd (0.0472, 0.5533, 0.2064)
Nd (0.0479, 0.0479, 0.6944)
Nd (0.1372, 0.6508, 0.6147)
Nd (0.3492, 0.8628, 0.3853)
Nd (0.3565, 0.3565, 0.9382)
Nd (0.4467, 0.9528, 0.7936)
Nd (0.5533, 0.0472, 0.2064)
Nd (0.6435, 0.6435, 0.0618)
Nd (0.6508, 0.1372, 0.6147)
Nd (0.8628, 0.3492, 0.3853)
Nd (0.9521, 0.9521, 0.3056)
Nd (0.9528, 0.4467, 0.7936)
Y (0.1506, 0.1506, 0.0976)
Y (0.2511, 0.2511, 0.5091)
Y (0.5000, 0.5000, 0.5000)
Y (0.7489, 0.7489, 0.4909)
Y (0.8494, 0.8494, 0.9024)

Values from the calculation:
Polymorph energy (0 for the lowest one) in meV/atom: 18

***

The following is a GGA-PBE calculation of a relaxed TbNd5Y4 crystal, from the Alexandria database.

a b c (Å): 9.2834 9.3075 8.0213
angles (deg): 90.00 90.00 90.00
Fractional positions:
Tb (0.2500, 0.2500, 0.1183)
Tb (0.7500, 0.7500, 0.8817)
Nd (0.0616, 0.0619, 0.8097)
Nd (0.0616, 0.4381, 0.8097)
Nd (0.2500, 0.7500, 0.0018)
Nd (0.4384, 0.0619, 0.8097)
Nd (0.4384, 0.4381, 0.8097)
Nd (0.5616, 0.5619, 0.1903)
Nd (0.5616, 0.9381, 0.1903)
Nd (0.7500, 0.2500, 0.9982)
Nd (0.9384, 0.5619, 0.1903)
Nd (0.9384, 0.9381, 0.1903)
Y (0.0223, 0.7500, 0.5951)
Y (0.2500, 0.5166, 0.4066)
Y (0.2500, 0.9834, 0.4066)
Y (0.4777, 0.7500, 0.5951)
Y (0.5223, 0.2500, 0.4049)
Y (0.7500, 0.0166, 0.5934)
Y (0.7500, 0.4834, 0.5934)
Y (0.9777, 0.2500, 0.4049)

Values from the calculation:
Polymorph energy (0 for the lowest one) in meV/atom: 0

***

The following is a GGA-PBE calculation of a relaxed Tb2Nd3Y crystal, from the Alexandria database.

a b c (Å): 6.8889 6.8889 17.8084
angles (deg): 102.03 102.03 30.01
Fractional positions:
Tb (0.1325, 0.1325, 0.0009)
Tb (0.3023, 0.3023, 0.6652)
Tb (0.6977, 0.6977, 0.3348)
Tb (0.8675, 0.8675, 0.9991)
Nd (0.1274, 0.1274, 0.4901)
Nd (0.2318, 0.2318, 0.8365)
Nd (0.4330, 0.4330, 0.3334)
Nd (0.5670, 0.5670, 0.6666)
Nd (0.7682, 0.7682, 0.1635)
Nd (0.8726, 0.8726, 0.5099)
Y (0.0413, 0.0413, 0.1812)
Y (0.9587, 0.9587, 0.8188)

Values from the calculation:
Polymorph energy (0 for the lowest one) in meV/atom: 33

***

The following is a GGA-PBE calculation of a relaxed Tb3Nd2Y8 crystal, from the Alexandria database.

a b c (Å): 11.7972 20.8002 3.5274
angles (deg): 90.00 90.00 90.00
Fractional positions:
Tb (0.0000, 0.0000, 0.0000)
Tb (0.1453, 0.2989, 0.0000)
Tb (0.3547, 0.7989, 0.0000)
Tb (0.5000, 0.5000, 0.0000)
Tb (0.6453, 0.2011, 0.0000)
Tb (0.8547, 0.7011, 0.0000)
Nd (0.1792, 0.9013, 0.5000)
Nd (0.3208, 0.4013, 0.5000)
Nd (0.6792, 0.5987, 0.5000)
Nd (0.8208, 0.0987, 0.5000)
Y (0.0454, 0.4284, 0.5000)
Y (0.0547, 0.1588, 0.0000)
Y (0.1288, 0.7134, 0.5000)
Y (0.2081, 0.5530, 0.0000)
Y (0.2919, 0.0530, 0.0000)
Y (0.3712, 0.2134, 0.5000)
Y (0.4453, 0.6588, 0.0000)
Y (0.4546, 0.9284, 0.5000)
Y (0.5454, 0.0716, 0.5000)
Y (0.5547, 0.3412, 0.0000)
Y (0.6288, 0.7866, 0.5000)
Y (0.7081, 0.9470, 0.0000)
Y (0.7919, 0.4470, 0.0000)
Y (0.8712, 0.2866, 0.5000)
Y (0.9453, 0.8412, 0.0000)
Y (0.9546, 0.5716, 0.5000)

Values from the calculation:
Polymorph energy (0 for the lowest one) in meV/atom: 0

***

The following is a GGA-PBE calculation of a relaxed Tb2Nd3Y crystal, from the Alexandria database.

a b c (Å): 9.7570 3.5905 11.7014
angles (deg): 90.00 94.20 90.00
Fractional positions:
Tb (0.0610, 0.2500, 0.3552)
Tb (0.4184, 0.7500, 0.8797)
Tb (0.5816, 0.2500, 0.1203)
Tb (0.9390, 0.7500, 0.6448)
Nd (0.0992, 0.2500, 0.8968)
Nd (0.2587, 0.2500, 0.6396)
Nd (0.4244, 0.2500, 0.3801)
Nd (0.5756, 0.7500, 0.6199)
Nd (0.7413, 0.7500, 0.3604)
Nd (0.9008, 0.7500, 0.1032)
Y (0.2592, 0.7500, 0.1444)
Y (0.7408, 0.2500, 0.8556)

Values from the calculation:
Polymorph energy (0 for the lowest one) in meV/atom: 0

***

The following is a GGA-PBE calculation of a relaxed TbNd4Y2 crystal, from the Alexandria database.

a b c (Å): 7.2427 7.2427 6.0442
angles (deg): 90.00 90.00 129.28
Fractional positions:
Tb (0.0000, 0.0000, 0.0000)
Nd (0.1368, 0.8632, 0.5000)
Nd (0.3068, 0.6932, 0.0000)
Nd (0.6932, 0.3068, 0.0000)
Nd (0.8632, 0.1368, 0.5000)
Y (0.3870, 0.6130, 0.5000)
Y (0.6130, 0.3870, 0.5000)

Values from the calculation:
Polymorph energy (0 for the lowest one) in meV/atom: 275

***

The following is a GGA-PBE calculation of a relaxed TbNd2Y4 crystal, from the Alexandria database.

a b c (Å): 5.6748 5.6748 16.7645
angles (deg): 90.00 90.00 119.92
Fractional positions:
Tb (0.0010, 0.9990, 0.7500)
Tb (0.9990, 0.0010, 0.2500)
Nd (0.3338, 0.6662, 0.5565)
Nd (0.3338, 0.6662, 0.9435)
Nd (0.6662, 0.3338, 0.0565)
Nd (0.6662, 0.3338, 0.4435)
Y (0.0000, 0.0000, 0.0000)
Y (0.0000, 0.0000, 0.5000)
Y (0.3325, 0.6675, 0.1478)
Y (0.3325, 0.6675, 0.3522)
Y (0.3344, 0.6656, 0.7500)
Y (0.6656, 0.3344, 0.2500)
Y (0.6675, 0.3325, 0.6478)
Y (0.6675, 0.3325, 0.8522)

Values from the calculation:
Polymorph energy (0 for the lowest one) in meV/atom: 110

***

The following is a GGA-PBE calculation of a relaxed Tb2Nd5Y2 crystal, from the Alexandria database.

a b c (Å): 8.1268 8.1268 8.1226
angles (deg): 107.59 107.59 36.85
Fractional positions:
Tb (0.1101, 0.1101, 0.1658)
Tb (0.8899, 0.8899, 0.8342)
Nd (0.0000, 0.0000, 0.5000)
Nd (0.2227, 0.2227, 0.8349)
Nd (0.3335, 0.3335, 0.4996)
Nd (0.6665, 0.6665, 0.5004)
Nd (0.7773, 0.7773, 0.1651)
Y (0.4451, 0.4451, 0.1640)
Y (0.5549, 0.5549, 0.8360)

Values from the calculation:
Polymorph energy (0 for the lowest one) in meV/atom: 0

***

The following is a GGA-PBE calculation of a relaxed Tb8Nd3Y2 crystal, from the Alexandria database.

a b c (Å): 6.1570 8.4522 9.7524
angles (deg): 64.67 75.92 71.12
Fractional positions:
Tb (0.1347, 0.0359, 0.3043)
Tb (0.2185, 0.6469, 0.2395)
Tb (0.2389, 0.5817, 0.6120)
Tb (0.2945, 0.1359, 0.9036)
Tb (0.7055, 0.8641, 0.0964)
Tb (0.7611, 0.4183, 0.3880)
Tb (0.7815, 0.3531, 0.7605)
Tb (0.8653, 0.9641, 0.6957)
Nd (0.0000, 0.5000, 0.0000)
Nd (0.4298, 0.7293, 0.8515)
Nd (0.5702, 0.2707, 0.1485)
Y (0.3095, 0.1943, 0.5320)
Y (0.6905, 0.8057, 0.4680)

Values from the calculation:
Polymorph energy (0 for the lowest one) in meV/atom: 0

***

Number 1: calculated volume 34.25 Å³ per atom, energy relative to the elements 0.1411 eV/atom. Number 2: calculated volume 34.95 Å³ per atom, energy relative to the elements 0.1781 eV/atom. Number 3: calculated volume 33.15 Å³ per atom, energy relative to the elements 0.1132 eV/atom. Number 4: calculated volume 34.98 Å³ per atom, energy relative to the elements 0.1307 eV/atom. Number 5: calculated volume 34.65 Å³ per atom, energy relative to the elements 0.1613 eV/atom. Number 6: calculated volume 34.39 Å³ per atom, energy relative to the elements 0.1046 eV/atom. Number 7: calculated volume 33.29 Å³ per atom, energy relative to the elements 0.1452 eV/atom. Number 8: calculated volume 34.07 Å³ per atom, energy relative to the elements 0.0711 eV/atom. Number 9: calculated volume 35.06 Å³ per atom, energy relative to the elements 0.4733 eV/atom. Number 10: calculated volume 33.42 Å³ per atom, energy relative to the elements 0.1532 eV/atom. Number 11: calculated volume 33.88 Å³ per atom, energy relative to the elements 0.0158 eV/atom. Number 12: calculated volume 33.14 Å³ per atom, energy relative to the elements 0.0657 eV/atom.